1.
DFT (PBE) results for an optimized crystal structure of Cs3LaHo2Te6.

Computed properties:
Crystal system: monoclinic
Space group: No. 12
Formation energy from raw total energies (meV/atom): -1415
E (eV per cell): -52.48
M_tot (μB/cell): 0.00

Cell: 7.997 7.997 9.311 Å, 98.24 98.24 120.01°
Fractional positions:
Cs1 0.000 0.000 0.000
Cs2 0.336 0.664 0.000
Cs3 0.664 0.336 0.000
La1 0.500 0.500 0.500
Ho1 0.167 0.833 0.500
Ho2 0.833 0.167 0.500
Te1 0.091 0.436 0.309
Te2 0.218 0.218 0.690
Te3 0.436 0.091 0.309
Te4 0.564 0.909 0.691
Te5 0.782 0.782 0.310
Te6 0.909 0.564 0.691

2.
DFT (PBE) results for an optimized crystal structure of Cs4LaHo3Te8.

Computed properties:
Crystal system: trigonal
Space group: No. 166
Formation energy from raw total energies (meV/atom): -1404
E (eV per cell): -69.67
M_tot (μB/cell): 0.00

Cell: 10.381 10.381 10.381 Å, 52.59 52.59 52.59°
Fractional positions:
Cs1 0.000 0.000 0.000
Cs2 0.000 0.500 0.500
Cs3 0.500 0.000 0.500
Cs4 0.500 0.500 0.000
La1 0.500 0.500 0.500
Ho1 0.000 0.000 0.500
Ho2 0.000 0.500 0.000
Ho3 0.500 0.000 0.000
Te1 0.219 0.736 0.736
Te2 0.229 0.229 0.229
Te3 0.264 0.264 0.781
Te4 0.264 0.781 0.264
Te5 0.736 0.219 0.736
Te6 0.736 0.736 0.219
Te7 0.771 0.771 0.771
Te8 0.781 0.264 0.264

3.
DFT (PBE) results for an optimized crystal structure of CsLiHo2S4.

Computed properties:
Crystal system: orthorhombic
Space group: No. 63
Formation energy from raw total energies (meV/atom): -1829
E (eV per cell): -86.13
M_tot (μB/cell): 0.00

Cell: 7.214 7.214 14.099 Å, 90.00 90.00 147.26°
Fractional positions:
Cs1 0.104 0.896 0.750
Cs2 0.896 0.104 0.250
Li1 0.176 0.824 0.250
Li2 0.824 0.176 0.750
Ho1 0.365 0.635 0.560
Ho2 0.365 0.635 0.940
Ho3 0.635 0.365 0.060
Ho4 0.635 0.365 0.440
S1 0.000 0.000 0.000
S2 0.000 0.000 0.500
S3 0.257 0.743 0.101
S4 0.257 0.743 0.399
S5 0.410 0.590 0.750
S6 0.590 0.410 0.250
S7 0.743 0.257 0.601
S8 0.743 0.257 0.899

4.
DFT (PBE) results for an optimized crystal structure of CsLiHo2Te4.

Computed properties:
Crystal system: orthorhombic
Space group: No. 63
Formation energy from raw total energies (meV/atom): -1304
E (eV per cell): -69.84
M_tot (μB/cell): 0.00

Cell: 8.021 8.021 15.827 Å, 90.00 90.00 147.31°
Fractional positions:
Cs1 0.110 0.890 0.750
Cs2 0.890 0.110 0.250
Li1 0.172 0.828 0.250
Li2 0.828 0.172 0.750
Ho1 0.367 0.633 0.563
Ho2 0.367 0.633 0.937
Ho3 0.633 0.367 0.063
Ho4 0.633 0.367 0.437
Te1 0.000 0.000 0.000
Te2 0.000 0.000 0.500
Te3 0.261 0.739 0.103
Te4 0.261 0.739 0.397
Te5 0.422 0.578 0.750
Te6 0.578 0.422 0.250
Te7 0.739 0.261 0.603
Te8 0.739 0.261 0.897

5.
DFT (PBE) results for an optimized crystal structure of CsLiHoTe2.

Computed properties:
Crystal system: orthorhombic
Space group: No. 67
Formation energy from raw total energies (meV/atom): -960
E (eV per cell): -36.86
M_tot (μB/cell): 0.68

Cell: 8.924 8.924 7.016 Å, 90.00 90.00 135.45°
Fractional positions:
Cs1 0.250 0.750 0.760
Cs2 0.750 0.250 0.240
Li1 0.000 0.000 0.000
Li2 0.500 0.500 0.000
Ho1 0.250 0.250 0.500
Ho2 0.750 0.750 0.500
Te1 0.114 0.886 0.265
Te2 0.386 0.614 0.265
Te3 0.614 0.386 0.735
Te4 0.886 0.114 0.735

6.
DFT (PBE) results for an optimized crystal structure of CsHoMgS3.

Computed properties:
Crystal system: monoclinic
Space group: No. 11
Formation energy from raw total energies (meV/atom): -1686
E (eV per cell): -59.04
M_tot (μB/cell): 0.00

Cell: 9.304 4.133 10.126 Å, 90.00 111.05 90.00°
Fractional positions:
Cs1 0.219 0.250 0.238
Cs2 0.781 0.750 0.762
Ho1 0.334 0.750 0.868
Ho2 0.666 0.250 0.132
Mg1 0.084 0.250 0.613
Mg2 0.916 0.750 0.387
S1 0.132 0.250 0.862
S2 0.190 0.750 0.553
S3 0.478 0.750 0.148
S4 0.522 0.250 0.852
S5 0.810 0.250 0.447
S6 0.868 0.750 0.138

7.
DFT (PBE) results for an optimized crystal structure of Cs2HoMg2Se4.

Computed properties:
Crystal system: monoclinic
Space group: No. 12
Formation energy from raw total energies (meV/atom): -1298
E (eV per cell): -35.10
M_tot (μB/cell): 0.39

Cell: 8.369 8.369 8.547 Å, 106.38 106.38 29.76°
Fractional positions:
Cs1 0.127 0.127 0.040
Cs2 0.873 0.873 0.960
Ho1 0.000 0.000 0.500
Mg1 0.328 0.328 0.523
Mg2 0.672 0.672 0.477
Se1 0.197 0.197 0.660
Se2 0.481 0.481 0.721
Se3 0.519 0.519 0.279
Se4 0.803 0.803 0.340

8.
DFT (PBE) results for an optimized crystal structure of Cs3Ho2MgSe6.

Computed properties:
Crystal system: monoclinic
Space group: No. 12
Formation energy from raw total energies (meV/atom): -1429
E (eV per cell): -51.36
M_tot (μB/cell): 0.00

Cell: 7.293 7.293 8.711 Å, 98.03 98.03 120.01°
Fractional positions:
Cs1 0.000 0.000 0.000
Cs2 0.333 0.667 0.000
Cs3 0.667 0.333 0.000
Ho1 0.166 0.834 0.500
Ho2 0.834 0.166 0.500
Mg1 0.500 0.500 0.500
Se1 0.110 0.439 0.318
Se2 0.231 0.231 0.683
Se3 0.439 0.110 0.318
Se4 0.561 0.890 0.682
Se5 0.769 0.769 0.317
Se6 0.890 0.561 0.682

9.
DFT (PBE) results for an optimized crystal structure of CsHoMgTe3.

Computed properties:
Crystal system: monoclinic
Space group: No. 11
Formation energy from raw total energies (meV/atom): -1232
E (eV per cell): -47.69
M_tot (μB/cell): 0.00

Cell: 4.535 11.857 8.957 Å, 90.00 104.66 90.00°
Fractional positions:
Cs1 0.248 0.250 0.495
Cs2 0.752 0.750 0.505
Ho1 0.500 0.000 0.000
Ho2 0.500 0.500 0.000
Mg1 0.035 0.750 0.070
Mg2 0.965 0.250 0.930
Te1 0.118 0.551 0.236
Te2 0.118 0.949 0.236
Te3 0.438 0.750 0.876
Te4 0.562 0.250 0.124
Te5 0.882 0.051 0.764
Te6 0.882 0.449 0.764